## La2HgN (PBEsol)

Data for a geometry-optimized La2HgN structure.

Values from the calculation:
E above lowest polymorph in meV per atom: 0
Space-group type: I-42d (122)
Uncorrected formation energy in meV/atom: -871

Cell lengths 6.5541, 6.5541, 6.5541 Å; angles 114.35, 114.35, 100.10 degrees
Atoms (fractional coordinates):
La: 0.0317 0.6250 0.9067
La: 0.3750 0.2817 0.4067
La: 0.7183 0.1250 0.0933
La: 0.8750 0.9683 0.5933
Hg: 0.2500 0.7500 0.5000
Hg: 0.5000 0.5000 0.0000
N: 0.0000 0.0000 0.0000
N: 0.7500 0.2500 0.5000


## Ba4SrHf5O15 (PBEsol)

Data for a geometry-optimized Ba4SrHf5O15 structure.

Values from the calculation:
Space-group type: R-3m (166)
Uncorrected formation energy in meV/atom: -3419

Cell lengths 12.4246, 12.4246, 12.4246 Å; angles 27.28, 27.28, 27.28 degrees
Atoms (fractional coordinates):
Ba: 0.1003 0.1003 0.1003
Ba: 0.3001 0.3001 0.3001
Ba: 0.6999 0.6999 0.6999
Ba: 0.8997 0.8997 0.8997
Sr: 0.5000 0.5000 0.5000
Hf: 0.0000 0.0000 0.0000
Hf: 0.1997 0.1997 0.1997
Hf: 0.4005 0.4005 0.4005
Hf: 0.5995 0.5995 0.5995
Hf: 0.8003 0.8003 0.8003
O: 0.0000 0.0000 0.5000
O: 0.0000 0.5000 0.0000
O: 0.1034 0.5995 0.5995
O: 0.2002 0.2002 0.7000
O: 0.2002 0.7000 0.2002
O: 0.3000 0.7998 0.7998
O: 0.4005 0.4005 0.8966
O: 0.4005 0.8966 0.4005
O: 0.5000 0.0000 0.0000
O: 0.5995 0.1034 0.5995
O: 0.5995 0.5995 0.1034
O: 0.7000 0.2002 0.2002
O: 0.7998 0.3000 0.7998
O: 0.7998 0.7998 0.3000
O: 0.8966 0.4005 0.4005


## CrFeRu (PBEsol)

Data for a geometry-optimized CrFeRu structure.

Values from the calculation:
E above lowest polymorph in meV per atom: 516
Formation energy from the elements in eV/atom: 0.593
Space-group type: F-43m (216)

Cell lengths 3.8501, 3.8501, 3.8501 Å; angles 60.00, 60.00, 60.00 degrees
Atoms (fractional coordinates):
Cr: 0.0000 0.0000 0.0000
Fe: 0.7500 0.7500 0.7500
Ru: 0.2500 0.2500 0.2500


## HfFeF6 (PBEsol)

Data for a geometry-optimized HfFeF6 structure.

Values from the calculation:
Space-group type: Fm-3m (225)
Uncorrected formation energy in meV/atom: -3081

Cell lengths 5.6923, 5.6923, 5.6923 Å; angles 60.00, 60.00, 60.00 degrees
Atoms (fractional coordinates):
Hf: 0.0000 0.0000 0.0000
Fe: 0.5000 0.5000 0.5000
F: 0.2470 0.2470 0.7530
F: 0.2470 0.7530 0.2470
F: 0.2470 0.7530 0.7530
F: 0.7530 0.2470 0.2470
F: 0.7530 0.2470 0.7530
F: 0.7530 0.7530 0.2470


## CuSOF2 (PBEsol)

Data for a geometry-optimized CuSOF2 structure.

Values from the calculation:
E above lowest polymorph in meV per atom: 0
Space-group type: P4/mmm (123)
Uncorrected formation energy in meV/atom: -284

Cell lengths 4.2858, 4.2858, 3.4057 Å; angles 90.00, 90.00, 90.00 degrees
Atoms (fractional coordinates):
Cu: 0.0000 0.0000 0.0000
S: 0.5000 0.5000 0.5000
O: 0.5000 0.5000 0.0000
F: 0.0000 0.5000 0.5000
F: 0.5000 0.0000 0.5000


## NaLi3V4O12 (PBEsol)

Data for a geometry-optimized NaLi3V4O12 structure.

Values from the calculation:
Space-group type: C2 (5)
Uncorrected formation energy in meV/atom: -2316

Cell lengths 6.7273, 6.7273, 5.8084 Å; angles 105.52, 105.52, 81.74 degrees
Atoms (fractional coordinates):
Na: 0.0000 0.0000 0.0000
Li: 0.4571 0.5429 0.5000
Li: 0.6259 0.3741 0.0000
Li: 0.7981 0.2019 0.5000
V: 0.0966 0.4802 0.0051
V: 0.3334 0.0909 0.4960
V: 0.5198 0.9034 0.9949
V: 0.9091 0.6666 0.5040
O: 0.0617 0.6485 0.8021
O: 0.0838 0.6268 0.3072
O: 0.0934 0.1922 0.4540
O: 0.3323 0.3657 0.0403
O: 0.3515 0.9383 0.1979
O: 0.3732 0.9162 0.6928
O: 0.4951 0.2786 0.5939
O: 0.6343 0.6677 0.9597
O: 0.6930 0.0783 0.1040
O: 0.7214 0.5049 0.4061
O: 0.8078 0.9066 0.5460
O: 0.9217 0.3070 0.8960


## Mg2AuSe (PBEsol)

Data for a geometry-optimized Mg2AuSe structure.

Values from the calculation:
Space-group type: I-4m2 (119)
Uncorrected formation energy in meV/atom: -513

Cell lengths 6.2879, 6.2879, 6.2879 Å; angles 145.10, 145.10, 50.18 degrees
Atoms (fractional coordinates):
Mg: 0.0000 0.0000 0.0000
Mg: 0.7500 0.2500 0.5000
Au: 0.2500 0.7500 0.5000
Se: 0.5000 0.5000 0.0000


## NaPbSN2 (PBEsol)

Data for a geometry-optimized NaPbSN2 structure.

Values from the calculation:
Space-group type: P4/mmm (123)
Uncorrected formation energy in meV/atom: 1132

Cell lengths 4.4201, 4.4201, 5.3085 Å; angles 90.00, 90.00, 90.00 degrees
Atoms (fractional coordinates):
Na: 0.0000 0.0000 0.0000
Pb: 0.5000 0.5000 0.5000
S: 0.5000 0.5000 0.0000
N: 0.0000 0.5000 0.5000
N: 0.5000 0.0000 0.5000


no.,DOS at the Fermi energy (states/eV per cell),size of the total moment (μB per atom),VASP energy (eV/atom)
1,8.1,0.000,-5.82
2,0.0,0.000,-9.09
3,3.3,0.429,-9.20
4,7.3,0.500,-6.96
5,0.9,0.000,-3.85
6,0.0,0.000,-7.76
7,1.3,0.000,-3.31
8,0.6,0.636,-4.23